Record 1
The following is a DFT calculation (PBE-GGA) of an optimized crystal structure of PmHoThMg.

abc: 5.5582 5.5582 5.5582
angles: 60.00 60.00 60.00
Element x y z (fractional)
Ho  0.2500  0.2500  0.2500
Pm  0.7500  0.7500  0.7500
Th  0.5000  0.5000  0.5000
Mg  0.0000  0.0000  0.0000

Calculated values
Size of the total moment: 0.0 μB/cell
Symmetry: F-43m, No. 216
Energy relative to the lowest polymorph listed for this composition: 0.825 eV per formula unit
E: -4.42 eV per atom

Record 2
The following is a DFT calculation (PBE-GGA) of an optimized crystal structure of Pm2HoMgTl4.

abc: 5.3176 5.3176 9.4949
angles: 73.74 73.74 60.00
Element x y z (fractional)
Pm  0.7578  0.7578  0.7266
Tl  0.6265  0.6265  0.1205
Tl  0.1224  0.1224  0.6329
Tl  0.8776  0.8776  0.3671
Mg  0.5000  0.5000  0.5000
Tl  0.3735  0.3735  0.8795
Ho  0.0000  0.0000  0.0000
Pm  0.2422  0.2422  0.2734

Calculated values
Size of the total moment: 0.0 μB/cell
Symmetry: R-3m, No. 166
E: -3.45 eV per atom

Record 3
The following is a DFT calculation (PBE-GGA) of an optimized crystal structure of Pm2Ho6Tm3Mg.

abc: 6.0826 6.0826 11.6592
angles: 95.01 95.01 120.04
Element x y z (fractional)
Ho  0.4155  0.0836  0.2525
Ho  0.7516  0.7516  0.2533
Ho  0.2484  0.2484  0.7467
Pm  0.6664  0.3336  0.0000
Ho  0.5845  0.9164  0.7475
Mg  0.0000  0.0000  0.0000
Ho  0.9164  0.5845  0.7475
Pm  0.3336  0.6664  0.0000
Tm  0.5000  0.5000  0.5000
Tm  0.8344  0.1656  0.5000
Tm  0.1656  0.8344  0.5000
Ho  0.0836  0.4155  0.2525

Calculated values
Size of the total moment: 0.0 μB/cell
Symmetry: C2/m, No. 12
E: -4.31 eV per atom

Number 1: ΔH_f (0 K) 0.16 eV/atom. Number 2: ΔH_f (0 K) -0.31 eV/atom. Number 3: ΔH_f (0 K) 0.02 eV/atom.